KTaSb2Te: relaxed, GGA-PBE.

Values from the calculation:
space-group type: P4/mmm, No. 123
total magnetization: 0.0 Bohr magnetons per cell
distance to the lowest polymorph of the same formula: 0.0 meV/atom

a b c (Å): 5.4680 5.4680 5.5108
angles (deg): 90.00 90.00 90.00
Last column: nearest neighbours and their distance in Å.
Element x y z (fractional)
K (0.0000, 0.0000, 0.0000)  4 Te 3.87, 8 Sb 3.88
Ta (0.5000, 0.5000, 0.5000)  4 Sb 2.73, 2 Te 2.76
Sb (0.0000, 0.5000, 0.5000)  2 Ta 2.73
Sb (0.5000, 0.0000, 0.5000)  2 Ta 2.73
Te (0.5000, 0.5000, 0.0000)  2 Ta 2.76

***

ZrHgSb2: relaxed, GGA-PBE.

Values from the calculation:
space-group type: F-43m, No. 216
total energy: -16.59 eV for the cell shown
total magnetization: 0.0 Bohr magnetons per cell

a b c (Å): 5.1993 5.1993 5.1993
angles (deg): 60.00 60.00 60.00
Last column: nearest neighbours and their distance in Å.
Element x y z (fractional)
Zr (0.0000, 0.0000, 0.0000)  4 Hg 3.18, 4 Sb 3.18
Hg (0.7500, 0.7500, 0.7500)  4 Zr 3.18, 4 Sb 3.18
Sb (0.2500, 0.2500, 0.2500)  4 Zr 3.18, 4 Sb 3.18
Sb (0.5000, 0.5000, 0.5000)  4 Hg 3.18, 4 Sb 3.18

***

CrTe2I: relaxed, GGA-PBE.

Values from the calculation:
space-group type: Pnna, No. 52
total magnetization: 11.1 Bohr magnetons per cell
distance to the lowest polymorph of the same formula: 89.5 meV/atom

a b c (Å): 6.9819 5.3828 12.8863
angles (deg): 90.00 90.00 90.00
Last column: nearest neighbours and their distance in Å.
Element x y z (fractional)
Cr (0.2500, 0.0000, 0.0927)  4 Te 2.71-2.74, 2 I 2.79
Cr (0.2500, 0.5000, 0.4073)  4 Te 2.71-2.74, 2 I 2.79
Cr (0.7500, 0.0000, 0.9073)  4 Te 2.71-2.74, 2 I 2.79
Cr (0.7500, 0.5000, 0.5927)  4 Te 2.71-2.74, 2 I 2.79
Te (0.0729, 0.2251, 0.5551)  2 Cr 2.71-2.74, 1 Te 2.99
Te (0.0729, 0.2749, 0.9449)  2 Cr 2.71-2.74, 1 Te 2.99
Te (0.4271, 0.7251, 0.9449)  2 Cr 2.71-2.74, 1 Te 2.99
Te (0.4271, 0.7749, 0.5551)  2 Cr 2.71-2.74, 1 Te 2.99
Te (0.5729, 0.2251, 0.4449)  2 Cr 2.71-2.74, 1 Te 2.99
Te (0.5729, 0.2749, 0.0551)  2 Cr 2.71-2.74, 1 Te 2.99
Te (0.9271, 0.7251, 0.0551)  2 Cr 2.71-2.74, 1 Te 2.99
Te (0.9271, 0.7749, 0.4449)  2 Cr 2.71-2.74, 1 Te 2.99
I (0.0551, 0.2500, 0.2500)  2 Cr 2.79
I (0.4449, 0.7500, 0.2500)  2 Cr 2.79
I (0.5551, 0.2500, 0.7500)  2 Cr 2.79
I (0.9449, 0.7500, 0.7500)  2 Cr 2.79

***

Pm8Rh3CCl3: relaxed, GGA-PBE.

Values from the calculation:
space-group type: C2/m, No. 12
total energy: -88.37 eV for the cell shown
total magnetization: 0.0 Bohr magnetons per cell

a b c (Å): 8.1065 8.1065 8.6322
angles (deg): 118.02 118.02 59.95
Last column: nearest neighbours and their distance in Å.
Element x y z (fractional)
Pm (0.2214, 0.2214, 0.6952)  1 C 2.61, 2 Rh 2.80
Pm (0.2216, 0.7521, 0.6952)  1 C 2.61, 2 Rh 2.80
Pm (0.2479, 0.7784, 0.3048)  1 C 2.61, 2 Rh 2.80
Pm (0.2628, 0.2628, 0.2883)  3 Rh 2.80
Pm (0.7372, 0.7372, 0.7117)  3 Rh 2.80
Pm (0.7521, 0.2216, 0.6952)  1 C 2.61, 2 Rh 2.80
Pm (0.7784, 0.2479, 0.3048)  1 C 2.61, 2 Rh 2.80
Pm (0.7786, 0.7786, 0.3048)  1 C 2.61, 2 Rh 2.80
Rh (0.0000, 0.5000, 0.5000)  6 Pm 2.80
Rh (0.5000, 0.0000, 0.5000)  6 Pm 2.80
Rh (0.5000, 0.5000, 0.5000)  6 Pm 2.80
C (0.0000, 0.0000, 0.5000)  6 Pm 2.61
Cl (0.0000, 0.0000, 0.0000)  6 Pm 3.14-3.17
Cl (0.0000, 0.5000, 0.0000)  6 Pm 3.14-3.17
Cl (0.5000, 0.0000, 0.0000)  6 Pm 3.14-3.17

***

ThMn10Si2: relaxed, GGA-PBE.

Values from the calculation:
space-group type: Cmcm, No. 63
total energy: -224.74 eV for the cell shown
total magnetization: 3.6 Bohr magnetons per cell

a b c (Å): 6.4051 6.4051 8.0847
angles (deg): 90.00 90.00 98.45
Last column: nearest neighbours and their distance in Å.
Element x y z (fractional)
Th (0.1236, 0.8764, 0.7500)  16 Mn 2.95-3.22, 4 Si 3.16
Th (0.8764, 0.1236, 0.2500)  16 Mn 2.95-3.22, 4 Si 3.16
Mn (0.1228, 0.3739, 0.7500)  2 Si 2.35, 7 Mn 2.37-2.57
Mn (0.1764, 0.8236, 0.1096)  3 Mn 2.27-2.42, 2 Si 2.38
Mn (0.1764, 0.8236, 0.3904)  3 Mn 2.27-2.42, 2 Si 2.38
Mn (0.2254, 0.2254, 0.0000)  6 Mn 2.37-2.57, 2 Si 2.43
Mn (0.2254, 0.2254, 0.5000)  6 Mn 2.37-2.57, 2 Si 2.43
Mn (0.2566, 0.4748, 0.2500)  2 Mn 2.25-2.48
Mn (0.3739, 0.1228, 0.2500)  2 Si 2.35, 7 Mn 2.37-2.57
Mn (0.3995, 0.6005, 0.5698)  1 Mn 2.25
Mn (0.3995, 0.6005, 0.9302)  1 Mn 2.25
Mn (0.4748, 0.2566, 0.7500)  2 Mn 2.25-2.48
Mn (0.5252, 0.7434, 0.2500)  2 Mn 2.25-2.48
Mn (0.6005, 0.3995, 0.0698)  1 Mn 2.25
Mn (0.6005, 0.3995, 0.4302)  1 Mn 2.25
Mn (0.6261, 0.8772, 0.7500)  2 Si 2.35, 7 Mn 2.37-2.57
Mn (0.7434, 0.5252, 0.7500)  2 Mn 2.25-2.48
Mn (0.7746, 0.7746, 0.0000)  6 Mn 2.37-2.57, 2 Si 2.43
Mn (0.7746, 0.7746, 0.5000)  6 Mn 2.37-2.57, 2 Si 2.43
Mn (0.8236, 0.1764, 0.6096)  3 Mn 2.27-2.42, 2 Si 2.38
Mn (0.8236, 0.1764, 0.8904)  3 Mn 2.27-2.42, 2 Si 2.38
Mn (0.8772, 0.6261, 0.2500)  2 Si 2.35, 7 Mn 2.37-2.57
Si (0.0000, 0.5000, 0.0000)  10 Mn 2.35-2.62
Si (0.0000, 0.5000, 0.5000)  10 Mn 2.35-2.62
Si (0.5000, 0.0000, 0.0000)  10 Mn 2.35-2.62
Si (0.5000, 0.0000, 0.5000)  10 Mn 2.35-2.62

***

Ac2PrSc: relaxed, GGA-PBE.

Values from the calculation:
space-group type: R3m, No. 160
ΔE_f: 0.119 eV per atom
total magnetization: 0.0 Bohr magnetons per cell
distance to the lowest polymorph of the same formula: 50.3 meV/atom

a b c (Å): 12.1734 12.1734 12.1734
angles (deg): 17.87 17.87 17.87
Last column: nearest neighbours and their distance in Å.
Element x y z (fractional)
Ac (0.0000, 0.0000, 0.0000)  3 Sc 3.56, 6 Ac 3.78, 3 Pr 3.79
Ac (0.1569, 0.1569, 0.1569)  3 Sc 3.57, 6 Ac 3.78, 3 Pr 3.91
Pr (0.5805, 0.5805, 0.5805)  6 Pr 3.78, 6 Ac 3.79-3.91
Sc (0.4117, 0.4117, 0.4117)  6 Ac 3.56-3.57, 6 Sc 3.78

***

KDy4HoS8: relaxed, GGA-PBE.

Values from the calculation:
space-group type: R3m, No. 160
total energy: -84.21 eV for the cell shown
total magnetization: 0.0 Bohr magnetons per cell

a b c (Å): 8.2016 8.2016 8.2016
angles (deg): 60.10 60.10 60.10
Last column: nearest neighbours and their distance in Å.
Element x y z (fractional)
K (0.0000, 0.0000, 0.0000)  4 S 2.85
Dy (0.3708, 0.3708, 0.8890)  6 S 2.67-2.88
Dy (0.3708, 0.8890, 0.3708)  6 S 2.67-2.88
Dy (0.7504, 0.7504, 0.7504)  4 S 2.66-2.67
Dy (0.8890, 0.3708, 0.3708)  6 S 2.67-2.88
Ho (0.3707, 0.3707, 0.3707)  6 S 2.65-2.87
S (0.1418, 0.1418, 0.1418)  3 Dy 2.67, 1 K 2.85
S (0.1426, 0.1426, 0.5755)  1 Ho 2.65, 2 Dy 2.67, 1 K 2.85
S (0.1426, 0.5755, 0.1426)  1 Ho 2.65, 2 Dy 2.67, 1 K 2.85
S (0.1480, 0.6173, 0.6173)  3 Dy 2.67-2.88, 1 Ho 2.87
S (0.5755, 0.1426, 0.1426)  1 Ho 2.65, 2 Dy 2.67, 1 K 2.85
S (0.6173, 0.1480, 0.6173)  3 Dy 2.67-2.88, 1 Ho 2.87
S (0.6173, 0.6173, 0.1480)  3 Dy 2.67-2.88, 1 Ho 2.87
S (0.6179, 0.6179, 0.6179)  4 Dy 2.66-2.88

***

Ti3NbC: relaxed, GGA-PBE.

Values from the calculation:
space-group type: Pm-3m, No. 221
ΔE_f: -0.255 eV per atom
total magnetization: 0.0 Bohr magnetons per cell
distance to the lowest polymorph of the same formula: 46.1 meV/atom

a b c (Å): 4.2296 4.2296 4.2296
angles (deg): 90.00 90.00 90.00
Last column: nearest neighbours and their distance in Å.
Element x y z (fractional)
Ti (0.0000, 0.0000, 0.5000)  2 C 2.11
Ti (0.0000, 0.5000, 0.0000)  2 C 2.11
Ti (0.5000, 0.0000, 0.0000)  2 C 2.11
Nb (0.5000, 0.5000, 0.5000)  12 Ti 2.99
C (0.0000, 0.0000, 0.0000)  6 Ti 2.11

***

NdAlCuPd3: relaxed, GGA-PBE.

Values from the calculation:
space-group type: Cmcm, No. 63
ΔE_f: -0.499 eV per atom
total magnetization: 0.0 Bohr magnetons per cell

a b c (Å): 7.1110 7.1110 5.9080
angles (deg): 90.00 90.00 132.95
Last column: nearest neighbours and their distance in Å.
Element x y z (fractional)
Nd (0.1801, 0.8199, 0.7500)  1 Cu 2.67, 2 Pd 2.84
Nd (0.8199, 0.1801, 0.2500)  1 Cu 2.67, 2 Pd 2.84
Al (0.1193, 0.8807, 0.2500)  5 Pd 2.57-2.60, 2 Cu 2.84
Al (0.8807, 0.1193, 0.7500)  5 Pd 2.57-2.60, 2 Cu 2.84
Cu (0.3849, 0.6151, 0.7500)  4 Pd 2.54, 1 Nd 2.67, 2 Al 2.84
Cu (0.6151, 0.3849, 0.2500)  4 Pd 2.54, 1 Nd 2.67, 2 Al 2.84
Pd (0.2504, 0.2504, 0.0000)  2 Cu 2.54, 2 Al 2.57, 1 Pd 2.83
Pd (0.2504, 0.2504, 0.5000)  2 Cu 2.54, 2 Al 2.57, 1 Pd 2.83
Pd (0.3188, 0.6812, 0.2500)  1 Al 2.60, 2 Nd 2.84
Pd (0.6812, 0.3188, 0.7500)  1 Al 2.60, 2 Nd 2.84
Pd (0.7496, 0.7496, 0.0000)  2 Cu 2.54, 2 Al 2.57, 1 Pd 2.83
Pd (0.7496, 0.7496, 0.5000)  2 Cu 2.54, 2 Al 2.57, 1 Pd 2.83

***

HfSbRuI2: relaxed, GGA-PBE.

Values from the calculation:
space-group type: P4/mmm, No. 123
total magnetization: 0.9 Bohr magnetons per cell
distance to the lowest polymorph of the same formula: 0.0 meV/atom

a b c (Å): 5.2645 5.2645 5.1463
angles (deg): 90.00 90.00 90.00
Last column: nearest neighbours and their distance in Å.
Element x y z (fractional)
Hf (0.0000, 0.0000, 0.0000)  8 I 3.68, 4 Sb 3.72
Sb (0.5000, 0.5000, 0.0000)  2 Ru 2.57
Ru (0.5000, 0.5000, 0.5000)  2 Sb 2.57, 4 I 2.63
I (0.0000, 0.5000, 0.5000)  2 Ru 2.63
I (0.5000, 0.0000, 0.5000)  2 Ru 2.63

***

RbCd3Br7: relaxed, GGA-PBE.

Values from the calculation:
space-group type: C2/m, No. 12
total energy: -26.26 eV for the cell shown
total magnetization: 0.0 Bohr magnetons per cell

a b c (Å): 7.6437 7.6437 7.0960
angles (deg): 90.01 90.01 77.36
Last column: nearest neighbours and their distance in Å.
Element x y z (fractional)
Rb (0.0000, 0.0000, 0.0000)  6 Br 3.46-3.55
Cd (0.2997, 0.7003, 0.5000)  5 Br 2.68-2.86
Cd (0.5000, 0.5000, 0.0000)  6 Br 2.82-2.84
Cd (0.7003, 0.2997, 0.5000)  5 Br 2.68-2.86
Br (0.0000, 0.0000, 0.5000)  2 Cd 2.86
Br (0.1671, 0.5795, 0.1880)  2 Cd 2.68-2.82
Br (0.3604, 0.3604, 0.6761)  3 Cd 2.83-2.84
Br (0.4205, 0.8329, 0.8120)  2 Cd 2.68-2.82
Br (0.5795, 0.1671, 0.1880)  2 Cd 2.68-2.82
Br (0.6396, 0.6396, 0.3239)  3 Cd 2.83-2.84
Br (0.8329, 0.4205, 0.8120)  2 Cd 2.68-2.82

***

NaSr2SnPd: relaxed, GGA-PBE.

Values from the calculation:
space-group type: P4/mmm, No. 123
ΔE_f: -0.381 eV per atom
total magnetization: 0.0 Bohr magnetons per cell

a b c (Å): 5.9819 5.9819 5.1301
angles (deg): 90.00 90.00 90.00
Last column: nearest neighbours and their distance in Å.
Element x y z (fractional)
Na (0.0000, 0.0000, 0.0000)  8 Sr 3.94, 4 Sn 4.23
Sr (0.0000, 0.5000, 0.5000)  2 Pd 2.99
Sr (0.5000, 0.0000, 0.5000)  2 Pd 2.99
Sn (0.5000, 0.5000, 0.0000)  2 Pd 2.57
Pd (0.5000, 0.5000, 0.5000)  2 Sn 2.57

***

Volume per entry: 165; 99; 484; 413; 328; 148; 391; 76; 219; 143; 405; 184 Å³ per cell